DFT (GGA-PBE) results for an optimized crystal structure of Re2TcH2.

* polymorph energy (0 for the lowest one): 0.71 eV per formula unit
* total moment: 0.00 μB per atom

Geometry as CIF:
```
data_Re2TcH2
_space_group_name_H-M_alt 'P 4/m b m'
_space_group_IT_number 127
_space_group_name_Hall '-P 4 2ab'
_cell_length_a 6.0295
_cell_length_b 6.0295
_cell_length_c 2.8493
_cell_angle_alpha 90.00
_cell_angle_beta 90.00
_cell_angle_gamma 90.00
loop_
_atom_site_label
_atom_site_type_symbol
_atom_site_fract_x
_atom_site_fract_y
_atom_site_fract_z
_atom_site_occupancy
Re1 Re 0.1408 0.3592 0.0000 1
Tc1 Tc 0.0000 0.0000 0.5000 1
H1 H 0.2075 0.7075 0.5000 1
```

=====

DFT (GGA-PBE) results for an optimized crystal structure of Re2TcH.

* polymorph energy (0 for the lowest one): 3.17 eV per formula unit
* total moment: 0.00 μB per atom

Geometry as CIF:
```
data_Re2TcH
_space_group_name_H-M_alt 'F m -3 m'
_space_group_IT_number 225
_space_group_name_Hall '-F 4 2 3'
_cell_length_a 5.9445
_cell_length_b 5.9445
_cell_length_c 5.9445
_cell_angle_alpha 90.00
_cell_angle_beta 90.00
_cell_angle_gamma 90.00
loop_
_atom_site_label
_atom_site_type_symbol
_atom_site_fract_x
_atom_site_fract_y
_atom_site_fract_z
_atom_site_occupancy
Re1 Re 0.2500 0.2500 0.2500 1
Tc1 Tc 0.0000 0.0000 0.0000 1
H1 H 0.0000 0.0000 0.5000 1
```

=====

DFT (GGA-PBE) results for an optimized crystal structure of Re2TcH.

* polymorph energy (0 for the lowest one): 0.00 eV per formula unit
* total moment: 0.00 μB per atom

Geometry as CIF:
```
data_Re2TcH
_space_group_name_H-M_alt 'R 3 m'
_space_group_IT_number 160
_space_group_name_Hall 'R 3 -2"'
_cell_length_a 2.8220
_cell_length_b 2.8220
_cell_length_c 20.1746
_cell_angle_alpha 90.00
_cell_angle_beta 90.00
_cell_angle_gamma 120.00
loop_
_atom_site_label
_atom_site_type_symbol
_atom_site_fract_x
_atom_site_fract_y
_atom_site_fract_z
_atom_site_occupancy
Re1 Re 0.0000 0.0000 0.0000 1
Re2 Re 0.0000 0.0000 0.2155 1
Tc1 Tc 0.0000 0.0000 0.4399 1
H1 H 0.0000 0.0000 0.6095 1
```

=====

DFT (GGA-PBE) results for an optimized crystal structure of Re2TcH2.

* polymorph energy (0 for the lowest one): 0.00 eV per formula unit
* total moment: 0.00 μB per atom

Geometry as CIF:
```
data_Re2TcH2
_space_group_name_H-M_alt 'I 4/m m m'
_space_group_IT_number 139
_space_group_name_Hall '-I 4 2'
_cell_length_a 2.8777
_cell_length_b 2.8777
_cell_length_c 12.1275
_cell_angle_alpha 90.00
_cell_angle_beta 90.00
_cell_angle_gamma 90.00
loop_
_atom_site_label
_atom_site_type_symbol
_atom_site_fract_x
_atom_site_fract_y
_atom_site_fract_z
_atom_site_occupancy
Re1 Re 0.0000 0.0000 0.1480 1
Tc1 Tc 0.0000 0.0000 0.5000 1
H1 H 0.0000 0.5000 0.2500 1
```

=====

DFT (GGA-PBE) results for an optimized crystal structure of ReTc4H.

* total moment: 0.00 μB per atom
* total DFT energy (no corrections): -9.59 eV/atom

Geometry as CIF:
```
data_ReTc4H
_space_group_name_H-M_alt 'P -1'
_space_group_IT_number 2
_space_group_name_Hall '-P 1'
_cell_length_a 4.8237
_cell_length_b 5.2666
_cell_length_c 6.5752
_cell_angle_alpha 76.16
_cell_angle_beta 68.49
_cell_angle_gamma 89.89
loop_
_atom_site_label
_atom_site_type_symbol
_atom_site_fract_x
_atom_site_fract_y
_atom_site_fract_z
_atom_site_occupancy
Re1 Re 0.1151 0.1542 0.1023 1
Tc1 Tc 0.0869 0.2388 0.4978 1
Tc2 Tc 0.2844 0.6468 0.0932 1
Tc3 Tc 0.3097 0.5563 0.7096 1
Tc4 Tc 0.4819 0.0399 0.6995 1
H1 H 0.3000 0.6003 0.4005 1
```

=====

DFT (GGA-PBE) results for an optimized crystal structure of ReTc3H.

* polymorph energy (0 for the lowest one): 0.00 eV per formula unit
* total moment: 0.00 μB per atom

Geometry as CIF:
```
data_ReTc3H
_space_group_name_H-M_alt 'C 1 2/m 1'
_space_group_IT_number 12
_space_group_name_Hall '-C 2y'
_cell_length_a 18.2359
_cell_length_b 2.7849
_cell_length_c 4.8095
_cell_angle_alpha 90.00
_cell_angle_beta 94.84
_cell_angle_gamma 90.00
loop_
_atom_site_label
_atom_site_type_symbol
_atom_site_fract_x
_atom_site_fract_y
_atom_site_fract_z
_atom_site_occupancy
Re1 Re 0.0634 0.0000 0.1863 1
Tc1 Tc 0.0632 0.5000 0.6900 1
Tc2 Tc 0.1801 0.0000 0.8915 1
Tc3 Tc 0.1805 0.5000 0.3913 1
H1 H 0.2503 0.0000 0.2491 1
```

=====

DFT (GGA-PBE) results for an optimized crystal structure of ReTc3H.

* polymorph energy (0 for the lowest one): 11.73 eV per formula unit
* total moment: 0.71 μB per atom

Geometry as CIF:
```
data_ReTc3H
_space_group_name_H-M_alt 'P m -3 m'
_space_group_IT_number 221
_space_group_name_Hall '-P 4 2 3'
_cell_length_a 4.7270
_cell_length_b 4.7270
_cell_length_c 4.7270
_cell_angle_alpha 90.00
_cell_angle_beta 90.00
_cell_angle_gamma 90.00
loop_
_atom_site_label
_atom_site_type_symbol
_atom_site_fract_x
_atom_site_fract_y
_atom_site_fract_z
_atom_site_occupancy
Re1 Re 0.0000 0.0000 0.0000 1
Tc1 Tc 0.0000 0.0000 0.5000 1
H1 H 0.5000 0.5000 0.5000 1
```

=====

DFT (GGA-PBE) results for an optimized crystal structure of ReTc2H.

* polymorph energy (0 for the lowest one): 1.29 eV per formula unit
* total moment: 0.00 μB per atom

Geometry as CIF:
```
data_ReTc2H
_space_group_name_H-M_alt 'I -4 2 d'
_space_group_IT_number 122
_space_group_name_Hall 'I -4 2bw'
_cell_length_a 5.9776
_cell_length_b 5.9776
_cell_length_c 5.3700
_cell_angle_alpha 90.00
_cell_angle_beta 90.00
_cell_angle_gamma 90.00
loop_
_atom_site_label
_atom_site_type_symbol
_atom_site_fract_x
_atom_site_fract_y
_atom_site_fract_z
_atom_site_occupancy
Re1 Re 0.0000 0.0000 0.0000 1
Tc1 Tc 0.1590 0.2500 0.6250 1
H1 H 0.0000 0.0000 0.5000 1
```

=====

DFT (GGA-PBE) results for an optimized crystal structure of ReTcH.

* polymorph energy (0 for the lowest one): 0.32 eV per formula unit
* total moment: 0.00 μB per atom

Geometry as CIF:
```
data_ReTcH
_space_group_name_H-M_alt 'C 1 2/m 1'
_space_group_IT_number 12
_space_group_name_Hall '-C 2y'
_cell_length_a 9.3120
_cell_length_b 2.8075
_cell_length_c 4.8853
_cell_angle_alpha 90.00
_cell_angle_beta 100.17
_cell_angle_gamma 90.00
loop_
_atom_site_label
_atom_site_type_symbol
_atom_site_fract_x
_atom_site_fract_y
_atom_site_fract_z
_atom_site_occupancy
Re1 Re 0.0000 0.0000 0.0000 1
Re2 Re 0.0000 0.5000 0.5000 1
Tc1 Tc 0.2489 0.0000 0.7673 1
H1 H 0.1326 0.0000 0.3803 1
```

=====

DFT (GGA-PBE) results for an optimized crystal structure of ReTc2H.

* polymorph energy (0 for the lowest one): 2.84 eV per formula unit
* total moment: 0.00 μB per atom

Geometry as CIF:
```
data_ReTc2H
_space_group_name_H-M_alt 'F m -3 m'
_space_group_IT_number 225
_space_group_name_Hall '-F 4 2 3'
_cell_length_a 5.9325
_cell_length_b 5.9325
_cell_length_c 5.9325
_cell_angle_alpha 90.00
_cell_angle_beta 90.00
_cell_angle_gamma 90.00
loop_
_atom_site_label
_atom_site_type_symbol
_atom_site_fract_x
_atom_site_fract_y
_atom_site_fract_z
_atom_site_occupancy
Re1 Re 0.0000 0.0000 0.0000 1
Tc1 Tc 0.2500 0.2500 0.2500 1
H1 H 0.0000 0.0000 0.5000 1
```

=====

DFT (GGA-PBE) results for an optimized crystal structure of ReTcH.

* polymorph energy (0 for the lowest one): 0.00 eV per formula unit
* total moment: 0.00 μB per atom

Geometry as CIF:
```
data_ReTcH
_space_group_name_H-M_alt 'P 1 21/c 1'
_space_group_IT_number 14
_space_group_name_Hall '-P 2ybc'
_cell_length_a 4.9261
_cell_length_b 4.4659
_cell_length_c 5.6920
_cell_angle_alpha 90.00
_cell_angle_beta 90.05
_cell_angle_gamma 90.00
loop_
_atom_site_label
_atom_site_type_symbol
_atom_site_fract_x
_atom_site_fract_y
_atom_site_fract_z
_atom_site_occupancy
Re1 Re 0.0842 0.2446 0.3756 1
Tc1 Tc 0.4191 0.7458 0.8755 1
H1 H 0.2546 0.5047 0.6236 1
```

=====

DFT (GGA-PBE) results for an optimized crystal structure of ReTc2H.

* polymorph energy (0 for the lowest one): 1.49 eV per formula unit
* total moment: 0.00 μB per atom

Geometry as CIF:
```
data_ReTc2H
_space_group_name_H-M_alt 'P 4/m m m'
_space_group_IT_number 123
_space_group_name_Hall '-P 4 2'
_cell_length_a 2.8041
_cell_length_b 2.8041
_cell_length_c 6.1343
_cell_angle_alpha 90.00
_cell_angle_beta 90.00
_cell_angle_gamma 90.00
loop_
_atom_site_label
_atom_site_type_symbol
_atom_site_fract_x
_atom_site_fract_y
_atom_site_fract_z
_atom_site_occupancy
Re1 Re 0.0000 0.0000 0.0000 1
Tc1 Tc 0.5000 0.5000 0.2980 1
H1 H 0.0000 0.0000 0.5000 1
```